Entry 1:
Li4V2Si3O12 (GGA-PBEsol, optimized geometry); crystal system = trigonal; total magnetization = 4.00 μB/cell; final energy = -7.56 eV/atom
1.0
8.354 0.007 0.005
3.717 7.481 0.005
3.717 2.306 7.117
Li V O Si
8 4 24 6
direct
0.337 0.750 0.163 Li
0.837 0.663 0.250 Li
0.750 0.163 0.337 Li
0.163 0.337 0.750 Li
0.250 0.837 0.663 Li
0.000 0.000 0.000 Li
0.663 0.250 0.837 Li
0.500 0.500 0.500 Li
0.138 0.138 0.138 V
0.638 0.638 0.638 V
0.862 0.862 0.862 V
0.362 0.362 0.362 V
0.589 0.440 0.246 O
0.687 0.495 0.865 O
0.440 0.246 0.589 O
0.005 0.813 0.635 O
0.089 0.746 0.940 O
0.187 0.365 0.995 O
0.940 0.089 0.746 O
0.560 0.754 0.411 O
0.746 0.940 0.089 O
0.813 0.635 0.005 O
0.135 0.313 0.505 O
0.505 0.135 0.313 O
0.313 0.505 0.135 O
0.365 0.995 0.187 O
0.254 0.060 0.911 O
0.495 0.865 0.687 O
0.060 0.911 0.254 O
0.246 0.589 0.440 O
0.995 0.187 0.365 O
0.911 0.254 0.060 O
0.754 0.411 0.560 O
0.865 0.687 0.495 O
0.635 0.005 0.813 O
0.411 0.560 0.754 O
0.250 0.540 0.960 Si
0.460 0.040 0.750 Si
0.960 0.250 0.540 Si
0.040 0.750 0.460 Si
0.540 0.960 0.250 Si
0.750 0.460 0.040 Si

---

Entry 2:
LiVSiO4 (GGA-PBEsol, optimized geometry); crystal system = orthorhombic; total magnetization = 4.00 μB/cell; excess energy over the best structure of this formula in the dataset = 12 meV/atom; final energy = -7.93 eV/atom
1.0
-3.170 -3.153 -3.149
0.830 -5.683 0.106
-3.820 -3.450 2.551
V Li O Si
2 2 8 2
direct
0.500 0.000 0.000 V
0.500 0.500 0.500 V
0.120 0.130 0.630 Li
0.880 0.870 0.370 Li
0.256 0.706 0.782 O
0.780 0.714 0.214 O
0.293 0.714 0.214 O
0.744 0.294 0.218 O
0.220 0.286 0.786 O
0.707 0.286 0.786 O
0.744 0.718 0.794 O
0.256 0.282 0.206 O
0.500 0.500 0.000 Si
0.000 0.500 0.000 Si

---

Entry 3:
Li2VSi4O11 (GGA-PBEsol, optimized geometry); crystal system = tetragonal; total magnetization = 2.00 μB/cell; excess energy over the best structure of this formula in the dataset = 0 meV/atom; final energy = -7.84 eV/atom
1.0
-7.095 -1.937 2.088
-2.570 -7.681 -1.861
-0.978 -3.398 7.521
Si O V Li
8 22 2 4
direct
0.502 0.328 0.279 Si
0.829 0.279 0.672 Si
0.220 0.279 0.672 Si
0.108 0.672 0.721 Si
0.892 0.328 0.279 Si
0.780 0.721 0.328 Si
0.498 0.672 0.721 Si
0.171 0.721 0.328 Si
0.034 0.678 0.254 O
0.958 0.266 0.451 O
0.042 0.734 0.549 O
0.591 0.451 0.734 O
0.712 0.254 0.322 O
0.775 0.549 0.266 O
0.000 0.000 0.000 O
0.325 0.266 0.451 O
0.202 0.904 0.245 O
0.893 0.755 0.904 O
0.500 0.000 0.000 O
0.675 0.734 0.549 O
0.553 0.245 0.096 O
0.351 0.096 0.755 O
0.409 0.549 0.266 O
0.225 0.451 0.734 O
0.649 0.904 0.245 O
0.107 0.245 0.096 O
0.447 0.755 0.904 O
0.966 0.322 0.746 O
0.798 0.096 0.755 O
0.288 0.746 0.678 O
0.242 0.000 0.000 V
0.758 0.000 0.000 V
0.384 0.275 0.957 Li
0.659 0.957 0.725 Li
0.616 0.725 0.043 Li
0.341 0.043 0.275 Li